Here is crystalline CdIn4HgPb2 at its relaxed geometry from the Alexandria database. Energies are from GGA-PBE.

Cell and atoms, written as POSCAR:
```
CdIn4HgPb2
1.0
-6.4186 4.4866 3.9009
0.3582 -5.4421 6.8425
7.1814 4.1312 -2.6072
Pb Cd In Hg
4 2 8 2
Cartesian
3.5907 2.0656 -1.3036
0.3814 4.3089 0.6469
-3.2093 2.2433 1.9505
-3.0302 -0.4777 5.3717
0.5605 1.5878 4.0681
0.7628 8.6177 1.2938
2.1854 -0.8690 4.6510
-1.0644 4.0447 3.4852
5.8793 1.0449 3.3925
2.0189 1.6845 1.4468
-4.7584 2.1309 4.7439
2.4715 3.4305 5.4680
-1.3505 -0.2548 2.6683
-0.8978 1.4912 6.6895
0.1791 -2.7210 3.4213
-2.6489 3.8311 6.0186
```

Values from the calculation:
The calculation puts the formation energy at 112.5 meV per atom. As for the space-group type: Imma. The calculation puts the total magnetization at 0.0 μB per formula unit.

Here is crystalline CdIn2Hg4Pb2 at its relaxed geometry from the Alexandria database. Energies are from GGA-PBE.

Cell and atoms, written as POSCAR:
```
CdIn2Hg4Pb2
1.0
3.6156 0.0000 0.0000
-1.8078 8.1614 0.6362
0.0000 -2.1668 8.0713
Hg Pb Cd In
4 2 1 2
Cartesian
0.0000 5.5848 6.2329
1.8078 0.4098 2.4746
1.8078 2.9712 5.7291
0.0000 3.0234 2.9784
1.8078 5.7917 3.4238
0.0000 0.2029 5.2837
0.0000 0.0000 0.0000
1.8078 0.5487 8.2101
0.0000 5.4460 0.4974
```

Values from the calculation:
The calculation puts the formation energy at 31.1 meV per atom. As for the space-group type: C2/m. The calculation puts the total magnetization at 0.0 μB per formula unit.

| no. | DOS at the Fermi energy (states/eV per atom) |
| --- | --- |
| 1 | 0.45 |
| 2 | 0.35 |